# SmTlCdGa PBE-GGA optimized geometry
data_SmTlCdGa
_chemical_formula_sum 'Sm4 Tl4 Cd4 Ga4'
_cell_length_a 7.329
_cell_length_b 7.329
_cell_length_c 7.329
_cell_angle_alpha 90.00
_cell_angle_beta 90.00
_cell_angle_gamma 90.00
_symmetry_space_group_name_H-M 'F -4 3 m'
_symmetry_Int_Tables_number 216
_symmetry_space_group_name_Hall 'F -4 2 3'
loop_
_atom_site_label
_atom_site_fract_x
_atom_site_fract_y
_atom_site_fract_z
Sm1 0.000 0.000 0.000
Tl1 0.250 0.250 0.250
Cd1 0.000 0.000 0.500
Ga1 0.250 0.250 0.750
# Crystal system: cubic
# DOS at the Fermi energy, states/eV/atom: 0.552
# DFT formation energy, eV per atom: -0.201

# SmZnCdGa PBE-GGA optimized geometry
data_SmZnCdGa
_chemical_formula_sum 'Sm4 Zn4 Cd4 Ga4'
_cell_length_a 6.977
_cell_length_b 6.977
_cell_length_c 6.977
_cell_angle_alpha 90.00
_cell_angle_beta 90.00
_cell_angle_gamma 90.00
_symmetry_space_group_name_H-M 'F -4 3 m'
_symmetry_Int_Tables_number 216
_symmetry_space_group_name_Hall 'F -4 2 3'
loop_
_atom_site_label
_atom_site_fract_x
_atom_site_fract_y
_atom_site_fract_z
Sm1 0.000 0.000 0.000
Zn1 0.250 0.250 0.750
Cd1 0.000 0.000 0.500
Ga1 0.250 0.250 0.250
# Crystal system: cubic
# DOS at the Fermi energy, states/eV/atom: 0.355
# DFT formation energy, eV per atom: -0.334

# SmZrCdGa PBE-GGA optimized geometry
data_SmZrCdGa
_chemical_formula_sum 'Sm4 Zr4 Cd4 Ga4'
_cell_length_a 7.161
_cell_length_b 7.161
_cell_length_c 7.161
_cell_angle_alpha 90.00
_cell_angle_beta 90.00
_cell_angle_gamma 90.00
_symmetry_space_group_name_H-M 'F -4 3 m'
_symmetry_Int_Tables_number 216
_symmetry_space_group_name_Hall 'F -4 2 3'
loop_
_atom_site_label
_atom_site_fract_x
_atom_site_fract_y
_atom_site_fract_z
Sm1 0.000 0.000 0.000
Zr1 0.000 0.000 0.500
Cd1 0.250 0.250 0.250
Ga1 0.250 0.250 0.750
# Crystal system: cubic
# DOS at the Fermi energy, states/eV/atom: 0.521
# DFT formation energy, eV per atom: -0.291

# Cd12Ga6Sn PBE-GGA optimized geometry
data_Cd12Ga6Sn
_chemical_formula_sum 'Cd36 Ga18 Sn3'
_cell_length_a 10.3694
_cell_length_b 10.3694
_cell_length_c 13.9421
_cell_angle_alpha 90.00
_cell_angle_beta 90.00
_cell_angle_gamma 120.00
_symmetry_space_group_name_H-M 'R -3'
_symmetry_Int_Tables_number 148
_symmetry_space_group_name_Hall '-R 3'
loop_
_atom_site_label
_atom_site_fract_x
_atom_site_fract_y
_atom_site_fract_z
Cd1 0.0448 0.2074 0.4150
Cd2 0.0633 0.1883 0.7756
Ga1 0.0375 0.6254 0.7213
Sn1 0.0000 0.0000 0.0000
# Crystal system: trigonal
# Excess energy over the best structure of this formula in the dataset, meV/atom: 0.0
# DOS at the Fermi energy, states/eV/atom: 0.398
# DFT formation energy, eV per atom: 0.071

# Cd4GaSn PBE-GGA optimized geometry
data_Cd4GaSn
_chemical_formula_sum 'Cd16 Ga4 Sn4'
_cell_length_a 8.360
_cell_length_b 8.360
_cell_length_c 8.360
_cell_angle_alpha 90.00
_cell_angle_beta 90.00
_cell_angle_gamma 90.00
_symmetry_space_group_name_H-M 'F -4 3 m'
_symmetry_Int_Tables_number 216
_symmetry_space_group_name_Hall 'F -4 2 3'
loop_
_atom_site_label
_atom_site_fract_x
_atom_site_fract_y
_atom_site_fract_z
Cd1 0.125 0.125 0.125
Ga1 0.250 0.250 0.750
Sn1 0.000 0.000 0.500
# Crystal system: cubic
# Excess energy over the best structure of this formula in the dataset, meV/atom: 41.2
# DOS at the Fermi energy, states/eV/atom: 0.222
# DFT formation energy, eV per atom: 0.111

# Cd4GaSn PBE-GGA optimized geometry
data_Cd4GaSn
_chemical_formula_sum 'Cd8 Ga2 Sn2'
_cell_length_a 5.581
_cell_length_b 5.549
_cell_length_c 9.237
_cell_angle_alpha 90.00
_cell_angle_beta 96.41
_cell_angle_gamma 90.00
_symmetry_space_group_name_H-M 'C 1 2/m 1'
_symmetry_Int_Tables_number 12
_symmetry_space_group_name_Hall '-C 2y'
loop_
_atom_site_label
_atom_site_fract_x
_atom_site_fract_y
_atom_site_fract_z
Cd1 0.010 0.000 0.178
Cd2 0.010 0.500 0.343
Ga1 0.000 0.000 0.500
Sn1 0.000 0.500 0.000
# Crystal system: monoclinic
# Excess energy over the best structure of this formula in the dataset, meV/atom: 0.0
# DOS at the Fermi energy, states/eV/atom: 0.385
# DFT formation energy, eV per atom: 0.070

# CdGaSn2 PBE-GGA optimized geometry
data_CdGaSn2
_chemical_formula_sum 'Cd4 Ga4 Sn8'
_cell_length_a 5.602
_cell_length_b 5.602
_cell_length_c 19.260
_cell_angle_alpha 90.00
_cell_angle_beta 90.00
_cell_angle_gamma 90.00
_symmetry_space_group_name_H-M 'I 41/a m d'
_symmetry_Int_Tables_number 141
loop_
_symmetry_equiv_pos_as_xyz
'x,y,z'
'-x,-y,-z'
'-y+1/4,x+3/4,z+1/4'
'y+1/4,-x+3/4,-z+1/4'
'-x+1/2,-y,z+1/2'
'x+1/2,y,-z+1/2'
'y+1/4,-x+1/4,z+3/4'
'-y+1/4,x+1/4,-z+3/4'
'x,-y,-z'
'-x,y,z'
'-y+1/4,-x+1/4,-z+3/4'
'y+1/4,x+1/4,z+3/4'
'-x+1/2,y,-z+1/2'
'x+1/2,-y,z+1/2'
'y+1/4,x+3/4,-z+1/4'
'-y+1/4,-x+3/4,z+1/4'
'x+1/2,y+1/2,z+1/2'
'-x+1/2,-y+1/2,-z+1/2'
'-y+3/4,x+1/4,z+3/4'
'y+3/4,-x+1/4,-z+3/4'
'-x,-y+1/2,z'
'x,y+1/2,-z'
'y+3/4,-x+3/4,z+1/4'
'-y+3/4,x+3/4,-z+1/4'
'x+1/2,-y+1/2,-z+1/2'
'-x+1/2,y+1/2,z+1/2'
'-y+3/4,-x+3/4,-z+1/4'
'y+3/4,x+3/4,z+1/4'
'-x,y+1/2,-z'
'x,-y+1/2,z'
'y+3/4,x+1/4,-z+3/4'
'-y+3/4,-x+1/4,z+3/4'
loop_
_atom_site_label
_atom_site_fract_x
_atom_site_fract_y
_atom_site_fract_z
Cd1 0.000 0.250 0.375
Ga1 0.000 0.250 0.875
Sn1 0.000 0.000 0.000
# Crystal system: tetragonal
# Excess energy over the best structure of this formula in the dataset, meV/atom: 480.9
# DOS at the Fermi energy, states/eV/atom: 0.503
# DFT formation energy, eV per atom: 0.540

# Cd3Ga2Sn2 PBE-GGA optimized geometry
data_Cd3Ga2Sn2
_chemical_formula_sum 'Cd6 Ga4 Sn4'
_cell_length_a 4.545
_cell_length_b 23.681
_cell_length_c 3.064
_cell_angle_alpha 90.00
_cell_angle_beta 90.00
_cell_angle_gamma 90.00
_symmetry_space_group_name_H-M 'C m m m'
_symmetry_Int_Tables_number 65
_symmetry_space_group_name_Hall '-C 2 2'
loop_
_atom_site_label
_atom_site_fract_x
_atom_site_fract_y
_atom_site_fract_z
Cd1 0.000 0.000 0.000
Cd2 0.000 0.431 0.500
Ga1 0.000 0.136 0.000
Sn1 0.000 0.297 0.500
# Crystal system: orthorhombic
# DOS at the Fermi energy, states/eV/atom: 0.413
# DFT formation energy, eV per atom: 0.047

# CdGa3Sn3 PBE-GGA optimized geometry
data_CdGa3Sn3
_chemical_formula_sum 'Cd2 Ga6 Sn6'
_cell_length_a 7.666
_cell_length_b 7.666
_cell_length_c 7.666
_cell_angle_alpha 90.00
_cell_angle_beta 90.00
_cell_angle_gamma 90.00
_symmetry_space_group_name_H-M 'P m -3 n'
_symmetry_Int_Tables_number 223
_symmetry_space_group_name_Hall '-P 4n 2 3'
loop_
_atom_site_label
_atom_site_fract_x
_atom_site_fract_y
_atom_site_fract_z
Cd1 0.000 0.000 0.000
Ga1 0.000 0.250 0.500
Sn1 0.000 0.500 0.250
# Crystal system: cubic
# DOS at the Fermi energy, states/eV/atom: 1.138
# DFT formation energy, eV per atom: 0.281

# CdGa2Sn2 PBE-GGA optimized geometry
data_CdGa2Sn2
_chemical_formula_sum 'Cd2 Ga4 Sn4'
_cell_length_a 4.9072
_cell_length_b 4.9072
_cell_length_c 11.6261
_cell_angle_alpha 90.00
_cell_angle_beta 90.00
_cell_angle_gamma 120.00
_symmetry_space_group_name_H-M 'P 63/m m c'
_symmetry_Int_Tables_number 194
_symmetry_space_group_name_Hall '-P 6c 2c'
loop_
_atom_site_label
_atom_site_fract_x
_atom_site_fract_y
_atom_site_fract_z
Cd1 0.0000 0.0000 0.2500
Ga1 0.0000 0.0000 0.0000
Ga2 0.3333 0.6667 0.2500
Sn1 0.3333 0.6667 0.5926
# Crystal system: hexagonal
# Excess energy over the best structure of this formula in the dataset, meV/atom: 36.7
# DOS at the Fermi energy, states/eV/atom: 0.511
# DFT formation energy, eV per atom: 0.109

# CdGaSn2 PBE-GGA optimized geometry
data_CdGaSn2
_chemical_formula_sum 'Cd4 Ga4 Sn8'
_cell_length_a 7.334
_cell_length_b 7.334
_cell_length_c 7.334
_cell_angle_alpha 90.00
_cell_angle_beta 90.00
_cell_angle_gamma 90.00
_symmetry_space_group_name_H-M 'F m -3 m'
_symmetry_Int_Tables_number 225
_symmetry_space_group_name_Hall '-F 4 2 3'
loop_
_atom_site_label
_atom_site_fract_x
_atom_site_fract_y
_atom_site_fract_z
Cd1 0.000 0.000 0.000
Ga1 0.000 0.000 0.500
Sn1 0.250 0.250 0.250
# Crystal system: cubic
# Excess energy over the best structure of this formula in the dataset, meV/atom: 23.5
# DOS at the Fermi energy, states/eV/atom: 0.546
# DFT formation energy, eV per atom: 0.082

# CdGaSn2 PBE-GGA optimized geometry
data_CdGaSn2
_chemical_formula_sum 'Cd2 Ga2 Sn4'
_cell_length_a 8.470
_cell_length_b 5.408
_cell_length_c 5.449
_cell_angle_alpha 90.00
_cell_angle_beta 126.85
_cell_angle_gamma 90.00
_symmetry_space_group_name_H-M 'C 1 m 1'
_symmetry_Int_Tables_number 8
_symmetry_space_group_name_Hall 'C -2y'
loop_
_atom_site_label
_atom_site_fract_x
_atom_site_fract_y
_atom_site_fract_z
Cd1 0.000 0.000 0.000
Ga1 0.253 0.000 0.766
Sn1 0.001 0.500 0.514
Sn2 0.249 0.500 0.251
# Crystal system: monoclinic
# Excess energy over the best structure of this formula in the dataset, meV/atom: 10.5
# DOS at the Fermi energy, states/eV/atom: 0.293
# DFT formation energy, eV per atom: 0.069

Which of these has the lowest DFT formation energy? SmZnCdGa

Which of these has the lowest DOS at the Fermi energy? number 5

What did the first record say?
# SmTlCdGa PBE-GGA optimized geometry
data_SmTlCdGa
_chemical_formula_sum 'Sm4 Tl4 Cd4 Ga4'
_cell_length_a 7.329
_cell_length_b 7.329
_cell_length_c 7.329
_cell_angle_alpha 90.00
_cell_angle_beta 90.00
_cell_angle_gamma 90.00
_symmetry_space_group_name_H-M 'F -4 3 m'
_symmetry_Int_Tables_number 216
_symmetry_space_group_name_Hall 'F -4 2 3'
loop_
_atom_site_label
_atom_site_fract_x
_atom_site_fract_y
_atom_site_fract_z
Sm1 0.000 0.000 0.000
Tl1 0.250 0.250 0.250
Cd1 0.000 0.000 0.500
Ga1 0.250 0.250 0.750
# Crystal system: cubic
# DOS at the Fermi energy, states/eV/atom: 0.552
# DFT formation energy, eV per atom: -0.201

Which of these has the highest DFT formation energy? number 7